TmNbGa6 | PBE-GGA | optimized geometry

Properties
Its space-group type is C2/m. The total moment comes out at 0.00 μB per formula unit. The crystal system is monoclinic. Its formation energy from the elements is -0.17 eV/atom.

abc: 5.038 5.038 9.553
angles: 56.77 56.77 90.73
Atoms (fractional coordinates):
Ga 0.684 0.055 0.811
Ga 0.677 0.677 0.694
Ga 0.316 0.945 0.189
Nb 0.000 0.000 0.000
Ga 0.055 0.684 0.811
Tm 0.500 0.500 0.500
Ga 0.323 0.323 0.306
Ga 0.945 0.316 0.189

Be5Te | PBE-GGA | optimized geometry

Properties
The value obtained for the energy relative to the elements, uncorrected is 2.79 eV per formula unit. Its space-group type is P6/mmm. The total moment comes out at 0.00 μB per formula unit. The crystal system is hexagonal. For the energy above the lowest structure with this stoichiometry, the calculation gives 211 meV/atom.

abc: 4.708 4.708 3.637
angles: 90.00 90.00 120.00
Atoms (fractional coordinates):
Te 0.000 0.000 0.500
Be 0.000 0.500 0.000
Be 0.500 0.500 0.000
Be 0.500 0.000 0.000
Be 0.333 0.667 0.500
Be 0.667 0.333 0.500

Li2CuAu | PBE-GGA | optimized geometry

Properties
Its space-group type is R3m. The total moment comes out at 0.00 μB per formula unit. The crystal system is trigonal. Its formation energy from the elements is -0.15 eV/atom.

abc: 2.847 2.847 8.718
angles: 80.60 80.60 60.00
Atoms (fractional coordinates):
Au 0.667 0.667 0.000
Li 0.248 0.248 0.257
Cu 0.500 0.500 0.500
Li 0.086 0.086 0.743